Li4SbPt: relaxed, PBE.

Magnetization ... 0.0 μB per cell
Final energy ... -0.130 hartree per atom

Cell: 5.3951 15.5403 4.4919 Å, 90.00 90.09 90.00°
Space group C2/c (No. 15)
One atom of each set of equivalent atoms:
Li 0.2362 0.0418 0.2498 (multiplicity 8)
Li 0.2442 0.2070 0.2499 (multiplicity 8)
Sb 0.0000 0.3723 0.2500 (multiplicity 4)
Pt 0.0000 0.1198 0.7500 (multiplicity 4)